The following is a DFT calculation (PBE) of PrZnCl after structural relaxation.

The structure in POSCAR format:
```
PrZnCl
1.0
2.099 1.212 11.060
-2.099 1.212 11.060
0.000 -2.424 11.060
Pr Zn Cl
2 2 2
Cartesian
0.000 0.000 2.221 Pr
0.000 0.000 30.958 Pr
0.000 0.000 11.245 Zn
0.000 0.000 21.935 Zn
0.000 0.000 7.204 Cl
0.000 0.000 25.975 Cl
```

Values from the calculation:
The value obtained for the density of states at the Fermi level is 4.9 states/eV per cell. The energy relative to the elements, uncorrected is -1165 meV per atom. Its space-group type is R-3m (166).

The following is a DFT calculation (PBE) of Pr3ZnCl3 after structural relaxation.

The structure in POSCAR format:
```
Pr3ZnCl3
1.0
5.875 0.000 0.000
0.000 5.875 0.000
0.000 0.000 5.875
Pr Zn Cl
3 1 3
Cartesian
0.000 0.000 2.937 Pr
0.000 2.937 0.000 Pr
2.937 0.000 0.000 Pr
0.000 0.000 0.000 Zn
0.000 2.937 2.937 Cl
2.937 0.000 2.937 Cl
2.937 2.937 0.000 Cl
```

Values from the calculation:
The value obtained for the density of states at the Fermi level is 2.5 states/eV per cell. The energy relative to the elements, uncorrected is -1441 meV per atom. Its space-group type is Pm-3m (221).

The following is a DFT calculation (PBE) of Pr2ZrCl after structural relaxation.

The structure in POSCAR format:
```
Pr2ZrCl
1.0
1.689 0.975 11.233
-1.689 0.975 11.233
0.000 -1.950 11.233
Pr Zr Cl
2 1 1
Cartesian
0.000 0.000 3.269 Pr
0.000 0.000 30.431 Pr
0.000 0.000 0.000 Zr
0.000 0.000 16.850 Cl
```

Values from the calculation:
The value obtained for the density of states at the Fermi level is 4.5 states/eV per cell. The energy relative to the elements, uncorrected is -326 meV per atom. Its space-group type is R-3m (166).

The following is a DFT calculation (PBE) of PtCl after structural relaxation.

The structure in POSCAR format:
```
PtCl
1.0
9.987 0.000 0.000
-4.993 8.649 0.000
0.000 0.000 3.398
Pt Cl
6 6
Cartesian
-3.683 7.090 0.849 Pt
0.695 1.914 0.849 Pt
2.005 0.356 2.548 Pt
2.988 8.293 0.849 Pt
4.299 6.735 2.548 Pt
8.676 1.559 2.548 Pt
-0.826 3.703 0.849 Cl
-1.374 7.512 0.849 Cl
2.794 2.567 2.548 Cl
2.199 6.082 0.849 Cl
6.367 1.137 2.548 Cl
5.819 4.946 2.548 Cl
```

Values from the calculation:
The value obtained for the density of states at the Fermi level is 17.9 states/eV per cell. The energy relative to the elements, uncorrected is 163 meV per atom. Its space-group type is P6_3/m (176).

The following is a DFT calculation (PBE) of Pt3Cl after structural relaxation.

The structure in POSCAR format:
```
Pt3Cl
1.0
1.411 -2.559 0.000
1.411 2.559 0.000
0.000 0.000 9.025
Pt Cl
3 1
Cartesian
0.000 0.000 0.000 Pt
1.411 0.000 2.298 Pt
1.411 0.000 6.727 Pt
0.000 0.000 4.512 Cl
```

Values from the calculation:
The value obtained for the density of states at the Fermi level is 4.8 states/eV per cell. The energy relative to the elements, uncorrected is 306 meV per atom. Its space-group type is Cmmm (65).

The following is a DFT calculation (PBE) of PtCl2 after structural relaxation.

The structure in POSCAR format:
```
PtCl2
1.0
6.482 0.000 0.000
0.000 8.624 0.000
0.000 0.000 3.449
Pt Cl
2 4
Cartesian
0.000 0.000 0.000 Pt
3.241 4.312 1.725 Pt
1.205 0.985 1.725 Cl
2.036 5.297 0.000 Cl
4.446 3.327 0.000 Cl
5.277 7.639 1.725 Cl
```

Values from the calculation:
The energy relative to the elements, uncorrected is -333 meV per atom. Its space-group type is Pnnm (58).

The following is a DFT calculation (PBE) of Pt2Cl after structural relaxation.

The structure in POSCAR format:
```
Pt2Cl
1.0
8.135 0.000 0.000
-4.067 7.045 0.000
0.000 0.000 2.853
Pt Cl
6 3
Cartesian
-1.786 3.093 0.000 Pt
-2.946 5.102 1.426 Pt
1.122 1.943 1.426 Pt
3.571 0.000 0.000 Pt
2.282 3.952 0.000 Pt
5.891 0.000 1.426 Pt
0.000 0.000 1.426 Cl
0.000 4.697 0.000 Cl
4.067 2.348 0.000 Cl
```

Values from the calculation:
The value obtained for the density of states at the Fermi level is 8.9 states/eV per cell. The energy relative to the elements, uncorrected is 537 meV per atom. Its space-group type is P-62m (189).

The following is a DFT calculation (PBE) of PtCl after structural relaxation.

The structure in POSCAR format:
```
PtCl
1.0
0.000 3.264 3.264
3.264 0.000 3.264
3.264 3.264 0.000
Pt Cl
2 2
Cartesian
0.816 0.816 0.816 Pt
5.713 5.713 5.713 Pt
2.448 2.448 2.448 Cl
4.081 4.081 4.081 Cl
```

Values from the calculation:
The value obtained for the density of states at the Fermi level is 4.3 states/eV per cell. The energy relative to the elements, uncorrected is 766 meV per atom. Its space-group type is Fd-3m (227).

The following is a DFT calculation (PBE) of Pt2Cl after structural relaxation.

The structure in POSCAR format:
```
Pt2Cl
1.0
-2.431 2.431 9.132
2.431 -2.431 9.132
2.431 2.431 -9.132
Pt Cl
8 4
Cartesian
2.431 -1.215 5.517 Pt
2.431 1.215 -2.782 Pt
2.431 -1.215 8.182 Pt
0.000 1.215 1.784 Pt
2.431 1.215 7.348 Pt
0.000 3.646 0.951 Pt
0.000 1.215 11.914 Pt
0.000 3.646 3.616 Pt
2.431 1.215 0.868 Cl
2.431 1.215 3.698 Cl
0.000 1.215 5.434 Cl
0.000 1.215 8.264 Cl
```

Values from the calculation:
The value obtained for the density of states at the Fermi level is 14.3 states/eV per cell. The energy relative to the elements, uncorrected is 574 meV per atom. Its space-group type is I4_1/amd (141).

The following is a DFT calculation (PBE) of Pt2Cl after structural relaxation.

The structure in POSCAR format:
```
Pt2Cl
1.0
-1.410 2.183 9.097
1.410 -2.183 9.097
1.410 2.183 -9.097
Pt Cl
4 2
Cartesian
0.000 1.091 0.591 Pt
0.000 1.091 3.250 Pt
1.410 1.091 5.848 Pt
1.410 1.091 8.507 Pt
1.410 1.091 -3.045 Cl
0.000 1.091 12.142 Cl
```

Values from the calculation:
The value obtained for the density of states at the Fermi level is 6.2 states/eV per cell. The energy relative to the elements, uncorrected is 532 meV per atom. Its space-group type is Imma (74).

The following is a DFT calculation (PBE) of PtCl after structural relaxation.

The structure in POSCAR format:
```
PtCl
1.0
3.239 0.000 0.000
0.000 3.239 0.000
0.000 0.000 3.239
Pt Cl
1 1
Cartesian
0.000 0.000 0.000 Pt
1.620 1.620 1.620 Cl
```

Values from the calculation:
The value obtained for the density of states at the Fermi level is 2.2 states/eV per cell. The energy relative to the elements, uncorrected is 856 meV per atom. Its space-group type is Pm-3m (221).

The following is a DFT calculation (PBE) of PtCl after structural relaxation.

The structure in POSCAR format:
```
PtCl
1.0
7.268 0.000 0.000
0.000 6.945 0.000
0.000 0.000 7.461
Pt Cl
8 8
Cartesian
0.000 0.000 0.000 Pt
0.000 3.472 0.000 Pt
1.102 1.736 1.668 Pt
2.532 5.209 5.399 Pt
3.634 0.000 3.730 Pt
3.634 3.472 3.730 Pt
4.736 1.736 2.062 Pt
6.166 5.209 5.792 Pt
0.580 5.209 4.242 Cl
1.077 5.209 1.013 Cl
2.557 1.736 4.743 Cl
3.055 1.736 0.511 Cl
4.214 5.209 6.950 Cl
4.711 5.209 2.718 Cl
6.192 1.736 6.448 Cl
6.689 1.736 3.219 Cl
```

Values from the calculation:
The energy relative to the elements, uncorrected is -43 meV per atom. Its space-group type is Pnma (62).

The following is a DFT calculation (PBE) of Pt7Cl6 after structural relaxation.

The structure in POSCAR format:
```
Pt7Cl6
1.0
2.945 1.700 9.758
-2.945 1.700 9.758
0.000 -3.401 9.758
Pt Cl
7 6
Cartesian
0.000 0.000 0.000 Pt
0.000 -1.890 7.600 Pt
-1.636 0.945 7.600 Pt
-1.636 -0.945 21.673 Pt
1.636 0.945 7.600 Pt
1.636 -0.945 21.673 Pt
0.000 1.890 21.673 Pt
0.000 0.000 5.824 Cl
0.000 0.000 9.047 Cl
0.000 0.000 12.164 Cl
0.000 0.000 17.109 Cl
0.000 0.000 20.226 Cl
0.000 0.000 23.449 Cl
```

Values from the calculation:
The value obtained for the density of states at the Fermi level is 15.1 states/eV per cell. The energy relative to the elements, uncorrected is 367 meV per atom. Its space-group type is R-3m (166).

The following is a DFT calculation (PBE) of Pt3Cl after structural relaxation.

The structure in POSCAR format:
```
Pt3Cl
1.0
4.479 0.000 0.000
0.000 5.285 0.000
0.000 0.000 8.104
Pt Cl
6 2
Cartesian
1.120 0.036 1.306 Pt
1.120 1.321 7.183 Pt
1.120 2.607 1.306 Pt
3.359 2.678 6.798 Pt
3.359 3.964 0.921 Pt
3.359 5.249 6.798 Pt
1.120 3.964 3.290 Cl
3.359 1.321 4.814 Cl
```

Values from the calculation:
The value obtained for the density of states at the Fermi level is 4.4 states/eV per cell. The energy relative to the elements, uncorrected is 310 meV per atom. Its space-group type is Pmmn (59).

The following is a DFT calculation (PBE) of Pt2Cl after structural relaxation.

The structure in POSCAR format:
```
Pt2Cl
1.0
6.256 -1.428 0.000
6.256 1.428 0.000
-5.307 0.000 7.124
Pt Cl
4 2
Cartesian
0.000 0.000 0.000 Pt
-2.654 0.000 3.562 Pt
1.467 0.000 4.103 Pt
5.738 0.000 3.021 Pt
-0.824 0.000 6.637 Cl
8.029 0.000 0.487 Cl
```

Values from the calculation:
The value obtained for the density of states at the Fermi level is 8.2 states/eV per cell. The energy relative to the elements, uncorrected is 416 meV per atom. Its space-group type is C2/m (12).

The following is a DFT calculation (PBE) of PtCl after structural relaxation.

The structure in POSCAR format:
```
PtCl
1.0
4.560 0.000 0.000
0.000 13.231 0.000
0.000 0.000 4.552
Pt Cl
6 6
Cartesian
1.140 0.652 0.014 Pt
1.140 3.308 0.051 Pt
1.140 5.963 0.014 Pt
3.420 7.268 4.538 Pt
3.420 9.923 4.501 Pt
3.420 12.578 4.538 Pt
1.140 1.263 2.284 Cl
1.140 5.352 2.284 Cl
1.140 9.923 0.492 Cl
3.420 3.308 4.060 Cl
3.420 7.879 2.268 Cl
3.420 11.967 2.268 Cl
```

Values from the calculation:
The value obtained for the density of states at the Fermi level is 7.7 states/eV per cell. The energy relative to the elements, uncorrected is 186 meV per atom. Its space-group type is Pmmn (59).

The following is a DFT calculation (PBE) of PtCl2 after structural relaxation.

The structure in POSCAR format:
```
PtCl2
1.0
4.702 0.000 0.000
-2.351 4.072 0.000
0.000 0.000 2.964
Pt Cl
1 2
Cartesian
0.000 0.000 0.000 Pt
0.000 2.715 1.482 Cl
2.351 1.357 1.482 Cl
```

Values from the calculation:
The value obtained for the density of states at the Fermi level is 4.6 states/eV per cell. The energy relative to the elements, uncorrected is 1104 meV per atom. Its space-group type is P6/mmm (191).

The following is a DFT calculation (PBE) of Pt2Cl after structural relaxation.

The structure in POSCAR format:
```
Pt2Cl
1.0
3.723 0.000 0.000
-1.861 3.224 0.000
0.000 0.000 9.021
Pt Cl
4 2
Cartesian
0.000 2.149 0.729 Pt
0.000 2.149 3.781 Pt
1.861 1.075 5.240 Pt
1.861 1.075 8.292 Pt
0.000 0.000 2.255 Cl
0.000 0.000 6.766 Cl
```

Values from the calculation:
The value obtained for the density of states at the Fermi level is 4.3 states/eV per cell. The energy relative to the elements, uncorrected is 322 meV per atom. Its space-group type is P6_3/mmc (194).

The following is a DFT calculation (PBE) of PtCl after structural relaxation.

The structure in POSCAR format:
```
PtCl
1.0
7.175 -1.619 0.000
7.175 1.619 0.000
-0.807 0.000 3.666
Pt Cl
2 2
Cartesian
2.060 0.000 1.601 Pt
11.482 0.000 2.065 Pt
5.245 0.000 0.359 Cl
8.297 0.000 3.307 Cl
```

Values from the calculation:
The value obtained for the density of states at the Fermi level is 3.6 states/eV per cell. The energy relative to the elements, uncorrected is 438 meV per atom. Its space-group type is C2/m (12).

The following is a DFT calculation (PBE) of Pt7Cl after structural relaxation.

The structure in POSCAR format:
```
Pt7Cl
1.0
0.000 3.998 3.998
3.998 0.000 3.998
3.998 3.998 0.000
Pt Cl
7 1
Cartesian
0.000 0.000 0.000 Pt
1.999 1.999 0.000 Pt
1.999 0.000 1.999 Pt
3.998 1.999 1.999 Pt
0.000 1.999 1.999 Pt
1.999 3.998 1.999 Pt
1.999 1.999 3.998 Pt
3.998 3.998 3.998 Cl
```

Values from the calculation:
The value obtained for the density of states at the Fermi level is 16.6 states/eV per cell. The energy relative to the elements, uncorrected is 358 meV per atom. Its space-group type is Fm-3m (225).